## Ni2SbAu (SCAN)

Data for a PBEsol-optimized structure of Ni2SbAu.

Results
Calculated total energy in eV per atom: -34.638
Space-group type: No. 123

```
Ni2SbAu
1.0
4.201 0.000 0.000
0.000 4.201 0.000
0.000 0.000 3.271
Ni Sb Au
2 1 1
direct
0.000 0.500 0.000
0.500 0.000 0.000
0.000 0.000 0.500
0.500 0.500 0.500
```



## NiSbAu2 (SCAN)

Data for a PBEsol-optimized structure of NiSbAu2.

Results
Calculated total energy in eV per atom: -47.801
Space-group type: No. 44

```
NiSbAu2
1.0
-1.976 2.116 4.026
1.976 -2.116 4.026
1.976 2.116 -4.026
Ni Sb Au
1 1 2
direct
0.000 0.000 0.000
0.218 0.718 0.500
0.482 0.482 0.000
0.747 0.247 0.500
```



## NiSbAu2 (SCAN)

Data for a PBEsol-optimized structure of NiSbAu2.

Results
Calculated total energy in eV per atom: -47.874
Space-group type: No. 160

```
NiSbAu2
1.0
1.704 0.984 7.156
-1.704 0.984 7.156
0.000 -1.968 7.156
Ni Sb Au
1 1 2
direct
0.000 0.000 0.000
0.739 0.739 0.739
0.259 0.259 0.259
0.502 0.502 0.502
```



## Sc2Ni2Au (SCAN)

Data for a PBEsol-optimized structure of Sc2Ni2Au.

Results
Energy relative to the elements in eV/atom: -0.675
Polymorph energy (0 for the lowest one) in meV/atom: 0
Space-group type: No. 127

```
Sc2Ni2Au
1.0
6.863 0.000 0.000
0.000 6.863 0.000
0.000 0.000 3.310
Sc Ni Au
4 4 2
direct
0.174 0.326 0.000
0.326 0.826 0.000
0.674 0.174 0.000
0.826 0.674 0.000
0.124 0.624 0.500
0.376 0.124 0.500
0.624 0.876 0.500
0.876 0.376 0.500
0.000 0.000 0.500
0.500 0.500 0.500
```



## Sc2Ni2Au (SCAN)

Data for a PBEsol-optimized structure of Sc2Ni2Au.

Results
Energy relative to the elements in eV/atom: -0.450
Polymorph energy (0 for the lowest one) in meV/atom: 225
Space-group type: No. 139

```
Sc2Ni2Au
1.0
-2.391 2.391 3.666
2.391 -2.391 3.666
2.391 2.391 -3.666
Sc Ni Au
2 2 1
direct
0.250 0.750 0.500
0.750 0.250 0.500
0.150 0.150 0.000
0.850 0.850 0.000
0.500 0.500 0.000
```



## Sc2NiAu (SCAN)

Data for a PBEsol-optimized structure of Sc2NiAu.

Results
Energy relative to the elements in eV/atom: -0.765
Space-group type: No. 123

```
Sc2NiAu
1.0
4.588 0.000 0.000
0.000 4.588 0.000
0.000 0.000 3.277
Sc Ni Au
2 1 1
direct
0.000 0.500 0.000
0.500 0.000 0.000
0.000 0.000 0.500
0.500 0.500 0.500
```



## ScNi4Au (SCAN)

Data for a PBEsol-optimized structure of ScNi4Au.

Results
Energy relative to the elements in eV/atom: -0.410
Space-group type: No. 216

```
ScNi4Au
1.0
0.000 3.359 3.359
3.359 0.000 3.359
3.359 3.359 0.000
Sc Ni Au
1 4 1
direct
0.000 0.000 0.000
0.375 0.375 0.375
0.375 0.375 0.874
0.375 0.874 0.375
0.874 0.375 0.375
0.750 0.750 0.750
```



## ScNi2Au (SCAN)

Data for a PBEsol-optimized structure of ScNi2Au.

Results
Energy relative to the elements in eV/atom: -0.490
Space-group type: No. 139

```
ScNi2Au
1.0
-1.974 1.974 3.573
1.974 -1.974 3.573
1.974 1.974 -3.573
Sc Ni Au
1 2 1
direct
0.000 0.000 0.000
0.250 0.750 0.500
0.750 0.250 0.500
0.500 0.500 0.000
```